CoMoCl | GGA-PBE | relaxed

```
3
Lattice="6.248 0.094 0.000 4.883 3.898 0.000 -5.566 -1.996 2.021" Properties=species:S:1:pos:R:3 pbc="T T T"
Mo 7.494 2.687 0.000
Co 3.339 1.197 0.000
Cl 0.298 0.107 0.000
```

- Formation energy (no corrections): 0.32 eV/atom
- Magnetic moment: 0.6 μB/f.u.
- Space-group type: No. 107
- Energy above the most stable polymorph in this dataset: 0.049 eV per atom
- Electronic total energy: -18.84 eV/cell


Co2MoCl | GGA-PBE | relaxed

```
4
Lattice="4.181 0.000 0.000 2.091 3.621 0.000 2.091 1.207 3.414" Properties=species:S:1:pos:R:3 pbc="T T T"
Mo 2.091 1.207 0.853
Co 0.000 0.000 0.000
Co 6.272 3.621 2.560
Cl 4.181 2.414 1.707
```

- Formation energy (no corrections): 0.70 eV/atom
- Magnetic moment: 1.7 μB/f.u.
- Space-group type: No. 216
- Energy above the most stable polymorph in this dataset: 0.452 eV per atom
- Electronic total energy: -24.07 eV/cell


Co2MoCl | GGA-PBE | relaxed

```
8
Lattice="5.671 0.000 0.000 0.000 5.671 0.000 2.835 2.835 4.216" Properties=species:S:1:pos:R:3 pbc="T T T"
Mo 0.000 0.000 0.000
Mo 5.671 2.835 2.108
Co 4.217 1.418 1.054
Co 1.454 4.253 1.054
Co 4.253 4.289 3.162
Co 7.088 7.053 3.162
Cl 2.835 2.835 0.000
Cl 2.835 5.671 2.108
```

- Formation energy (no corrections): 0.77 eV/atom
- Magnetic moment: 0.0 μB/f.u.
- Space-group type: No. 122
- Energy above the most stable polymorph in this dataset: 0.520 eV per atom
- Electronic total energy: -47.60 eV/cell


CoMoCl | GGA-PBE | relaxed

```
3
Lattice="4.083 0.000 0.000 2.041 3.536 0.000 2.041 1.179 3.333" Properties=species:S:1:pos:R:3 pbc="T T T"
Mo 6.124 3.536 2.500
Co 4.083 2.357 1.667
Cl 0.000 0.000 0.000
```

- Formation energy (no corrections): 0.78 eV/atom
- Magnetic moment: 0.0 μB/f.u.
- Space-group type: No. 216
- Energy above the most stable polymorph in this dataset: 0.508 eV per atom
- Electronic total energy: -17.46 eV/cell


Co2MoCl | GGA-PBE | relaxed

```
4
Lattice="-1.852 2.312 0.058 -2.009 -1.645 1.427 2.711 2.018 6.146" Properties=species:S:1:pos:R:3 pbc="T T T"
Mo 1.247 0.928 2.826
Co 0.252 0.188 0.571
Co -1.274 0.822 2.232
Cl -0.019 1.756 5.075
```

- Formation energy (no corrections): 0.35 eV/atom
- Magnetic moment: 3.0 μB/f.u.
- Space-group type: No. 99
- Energy above the most stable polymorph in this dataset: 0.102 eV per atom
- Electronic total energy: -25.47 eV/cell


Co3MoCl | GGA-PBE | relaxed

```
5
Lattice="4.541 0.000 0.000 0.000 4.541 0.000 0.000 0.000 4.541" Properties=species:S:1:pos:R:3 pbc="T T T"
Mo 0.000 0.000 0.000
Co 0.000 2.271 0.000
Co 0.000 0.000 2.271
Co 2.271 0.000 0.000
Cl 2.271 2.271 2.271
```

- Formation energy (no corrections): 1.59 eV/atom
- Magnetic moment: 2.7 μB/f.u.
- Space-group type: No. 221
- Energy above the most stable polymorph in this dataset: 0.540 eV per atom
- Electronic total energy: -26.02 eV/cell


CoMo2Cl2 | GGA-PBE | relaxed

```
5
Lattice="-4.671 0.271 -0.235 -0.225 -4.604 -0.836 -0.271 -0.796 4.456" Properties=species:S:1:pos:R:3 pbc="T T T"
Mo -0.113 -2.302 -0.418
Mo -2.336 0.136 -0.118
Co 0.000 0.000 0.000
Cl -2.583 -2.565 1.692
Cl -0.135 -0.398 2.228
```

- Formation energy (no corrections): 1.22 eV/atom
- Magnetic moment: 4.7 μB/f.u.
- Space-group type: No. 123
- Electronic total energy: -26.38 eV/cell